# 1
Density functional theory data (GGA-PBE) for crystalline KVC3 at its relaxed geometry.

```
KVC3
1.0
-0.7154 -2.9176 2.6934
3.4391 0.9127 1.9021
-1.9847 2.6331 2.3251
C K V
3 1 1
Cartesian
-0.9923 1.3165 1.1625
1.7196 0.4563 0.9510
-0.3577 -1.4588 1.3467
0.3695 0.3141 3.4603
0.0000 0.0000 0.0000
```

Properties
The total moment is 0.000 μB per formula unit. Its energy above the most stable polymorph in this dataset is 0 meV/atom. The symmetry is Pm-3m, No. 221.



# 2
Density functional theory data (GGA-PBE) for crystalline KV3C at its relaxed geometry.

```
KV3C
1.0
-3.4714 -0.4131 2.3138
-1.0581 -3.4104 -2.1964
2.0987 -2.4027 2.7197
K C V
1 1 3
Cartesian
0.0000 0.0000 0.0000
-1.2154 -3.1131 1.4185
-0.5291 -1.7052 -1.0982
-1.7357 -0.2066 1.1569
1.0494 -1.2014 1.3598
```

Properties
The total moment is 0.001 μB per formula unit. Its energy above the most stable polymorph in this dataset is 2544 meV/atom. The symmetry is Pm-3m, No. 221.



# 3
Density functional theory data (GGA-PBE) for crystalline KV3C at its relaxed geometry.

```
KV3C
1.0
4.2248 0.0000 0.0000
0.0000 4.2248 0.0000
0.0000 0.0000 4.2248
V K C
3 1 1
Cartesian
0.0000 0.0000 2.1124
2.1124 0.0000 0.0000
0.0000 2.1124 0.0000
2.1124 2.1124 2.1124
0.0000 0.0000 0.0000
```

Properties
The total moment is 0.090 μB per formula unit. Its energy above the most stable polymorph in this dataset is 0 meV/atom. The symmetry is Pm-3m, No. 221.



Number 1: total DFT energy (no corrections) -30.50 eV/cell. Number 2: total DFT energy (no corrections) -19.99 eV/cell. Number 3: total DFT energy (no corrections) -32.71 eV/cell.